Entry 1:
KNiAu2 after structural relaxation, computed with PBE.

Values from the calculation:
formation energy from the elements	0.3220	eV/atom
density of states at the Fermi level	3.5	states/eV/f.u.
crystal system	trigonal
ΔE to the lowest computed polymorph	247.0	meV/atom
V	237	Å³/cell
total DFT energy (no corrections)	-3.036	eV/atom

Cell lengths 3.0979, 3.0979, 28.5466 Å; angles 90.00, 90.00, 120.00 degrees
Space group R-3m (No. 166, hexagonal axes)
Unique sites:
1 K 0.0000 0.0000 0.0000 [3 per cell]
2 Ni 0.0000 0.0000 0.5000 [3 per cell]
3 Au 0.0000 0.0000 0.2345 [6 per cell]

=====

Entry 2:
KNiAu2 after structural relaxation, computed with PBE.

Values from the calculation:
formation energy from the elements	0.0750	eV/atom
density of states at the Fermi level	3.0	states/eV/f.u.
crystal system	tetragonal
ΔE to the lowest computed polymorph	0.0	meV/atom
V	81	Å³/cell
total DFT energy (no corrections)	-3.283	eV/atom

Cell lengths 3.172, 3.172, 8.054 Å; angles 90.00, 90.00, 90.00 degrees
Space group P4/mmm (No. 123)
Unique sites:
1 K 0.000 0.000 0.000 [1 per cell]
2 Ni 0.000 0.000 0.500 [1 per cell]
3 Au 0.500 0.500 0.319 [2 per cell]

=====

Entry 3:
KNi2Au after structural relaxation, computed with PBE.

Values from the calculation:
formation energy from the elements	0.7090	eV/atom
density of states at the Fermi level	0.6	states/eV/f.u.
crystal system	cubic
ΔE to the lowest computed polymorph	408.5	meV/atom
V	274	Å³/cell
total DFT energy (no corrections)	-3.275	eV/atom

Cell lengths 6.494, 6.494, 6.494 Å; angles 90.00, 90.00, 90.00 degrees
Space group Fm-3m (No. 225)
Unique sites:
1 K 0.000 0.000 0.000 [4 per cell]
2 Ni 0.250 0.250 0.250 [8 per cell]
3 Au 0.000 0.000 0.500 [4 per cell]

=====

Entry 4:
KNi2Au after structural relaxation, computed with PBE.

Values from the calculation:
formation energy from the elements	0.4524	eV/atom
density of states at the Fermi level	6.5	states/eV/f.u.
crystal system	orthorhombic
ΔE to the lowest computed polymorph	151.8	meV/atom
V	78	Å³/cell
total DFT energy (no corrections)	-3.532	eV/atom

Cell lengths 2.757, 4.062, 6.970 Å; angles 90.00, 90.00, 90.00 degrees
Space group Pmmm (No. 47)
Unique sites:
1 K 0.000 0.000 0.000 [1 per cell]
2 Ni 0.500 0.500 0.336 [2 per cell]
3 Au 0.000 0.000 0.500 [1 per cell]

=====

> Number 1 is which compound?

KNiAu2

=====

What did the third record say?
KNi2Au after structural relaxation, computed with PBE.

Values from the calculation:
formation energy from the elements	0.7090	eV/atom
density of states at the Fermi level	0.6	states/eV/f.u.
crystal system	cubic
ΔE to the lowest computed polymorph	408.5	meV/atom
V	274	Å³/cell
total DFT energy (no corrections)	-3.275	eV/atom

Cell lengths 6.494, 6.494, 6.494 Å; angles 90.00, 90.00, 90.00 degrees
Space group Fm-3m (No. 225)
Unique sites:
1 K 0.000 0.000 0.000 [4 per cell]
2 Ni 0.250 0.250 0.250 [8 per cell]
3 Au 0.000 0.000 0.500 [4 per cell]

=====

> The lowest density of states at the Fermi level belongs to which entry?

number 3